This record from Alexandria via LeMat-Bulk describes a relaxed structure of HfAuCl2. The functional is PBE-GGA.

Structure (CIF):
```
data_HfAuCl2
_chemical_formula_sum 'Hf4 Au4 Cl8'
_symmetry_space_group_name_H-M 'I -4 2 d'
_symmetry_Int_Tables_number 122
_symmetry_space_group_name_Hall 'I -4 2bw'
_cell_length_a 9.1821
_cell_length_b 9.1821
_cell_length_c 5.4469
_cell_angle_alpha 90.00
_cell_angle_beta 90.00
_cell_angle_gamma 90.00
loop_
_atom_site_label
_atom_site_type_symbol
_atom_site_fract_x
_atom_site_fract_y
_atom_site_fract_z
Hf1 Hf 0.0000 0.0000 0.0000
Au1 Au 0.0000 0.0000 0.5000
Cl1 Cl 0.0887 0.2500 0.1250
```

- ΔE to the lowest computed polymorph: 165 meV per atom
- Magnetization: 0.299 μB per formula unit
- Uncorrected formation energy: -2.6 eV per formula unit